## CaAgBrO (PBE)

Data for a geometry-optimized CaAgBrO structure.

Lattice parameters (Å, degrees): 3.7764 3.7762 7.4407 75.41 75.38 60.02
With the nearest neighbours (Å) after each atom.
Fractional positions:
1 Ca 0.9314 0.1938 0.8936  3 O 2.27
2 Br 0.7160 0.9795 0.5424  3 Ag 2.84-2.85, 1 O 3.12
3 Ag 0.4676 0.7301 0.2859  1 O 2.17
4 O 0.5689 0.8315 0.9810  1 Ag 2.17, 3 Ca 2.27

Properties
E_tot in Ry/atom: -0.3202
ΔE_f (raw) in meV per atom: -1486
Total magnetization in μB/f.u.: 0.000
Space-group type: Cm (8)